Below is a relaxed CoMoPb2O6 crystal, with properties calculated at the GGA+U level.

extended XYZ file:
```
10
Lattice="5.7705 -0.0003 -0.0146 -0.0014 5.6959 0.0035 -2.8958 -2.8459 3.9995" Properties=species:S:1:pos:R:3 pbc="T T T"
Co -0.0112 0.0050 3.9931
Mo 2.8748 -2.8433 3.9841
Pb 2.8074 0.0042 1.9841
Pb 0.0658 2.8534 2.0025
O 1.5093 1.4670 3.6970
O 3.2436 2.8523 2.0776
O 1.3644 1.3880 0.2895
O 1.4976 -1.4711 3.6926
O -0.3702 0.0018 1.9092
O 1.3756 4.3261 0.2943
```

## Properties
Symmetry: P-1, No. 2
DFT total energy: -6.24 eV/atom
Volume: 131 Å³ per cell